Record 1
A geometry-optimized AcTb2Ag2Ge2 structure, computed with PBE-GGA.

abc: 4.611 4.611 9.951
angles: 76.60 76.60 60.00
Sites, in units of the cell vectors:
Ac: 0.000 0.000 0.000
Tb: 0.130 0.130 0.609
Tb: 0.870 0.870 0.391
Ag: 0.592 0.592 0.224
Ag: 0.408 0.408 0.776
Ge: 0.751 0.751 0.748
Ge: 0.249 0.249 0.252

Crystal system: trigonal

***

Record 2
A geometry-optimized BPAu3 structure, computed with PBE-GGA.

abc: 4.399 4.399 4.399
angles: 90.00 90.00 90.00
Sites, in units of the cell vectors:
P: 0.500 0.500 0.500
B: 0.000 0.000 0.000
Au: 0.000 0.500 0.000
Au: 0.000 0.000 0.500
Au: 0.500 0.000 0.000

Crystal system: cubic
Energy above the lowest structure with this stoichiometry, meV/atom: 0

***

Record 3
A geometry-optimized SmDyEr14 structure, computed with PBE-GGA.

abc: 7.065 7.065 11.352
angles: 90.00 90.00 119.97
Sites, in units of the cell vectors:
Sm: 0.708 0.292 0.500
Dy: 0.208 0.792 0.500
Er: 0.042 0.958 0.000
Er: 0.542 0.458 0.000
Er: 0.208 0.292 0.500
Er: 0.042 0.458 0.000
Er: 0.708 0.792 0.500
Er: 0.542 0.958 0.000
Er: 0.375 0.125 0.752
Er: 0.375 0.125 0.248
Er: 0.875 0.625 0.752
Er: 0.875 0.625 0.248
Er: 0.375 0.625 0.750
Er: 0.375 0.625 0.250
Er: 0.875 0.125 0.751
Er: 0.875 0.125 0.249

Crystal system: orthorhombic

***

Record 4
A geometry-optimized YAsPdAu structure, computed with PBE-GGA.

abc: 4.802 4.802 4.802
angles: 60.00 60.00 60.00
Sites, in units of the cell vectors:
Y: 0.750 0.750 0.750
As: 0.000 0.000 0.000
Au: 0.500 0.500 0.500
Pd: 0.250 0.250 0.250

Crystal system: cubic

***

Record 5
A geometry-optimized Li3NpTc2N6 structure, computed with PBE-GGA.

abc: 3.225 6.194 6.843
angles: 106.68 103.63 90.00
Site moments in Bohr magnetons follow the coordinates.
Sites, in units of the cell vectors:
Li: 0.500 0.500 0.000  0.00
Li: 0.827 0.156 0.655  0.00
Li: 0.173 0.844 0.345  0.00
Np: 0.500 0.000 0.000  -0.13
Tc: 0.820 0.630 0.641  0.34
Tc: 0.180 0.370 0.359  0.34
N: 0.338 0.886 0.677  0.02
N: 0.665 0.573 0.330  -0.02
N: 0.662 0.114 0.323  0.02
N: 0.006 0.226 0.011  0.01
N: 0.994 0.774 0.989  0.01
N: 0.335 0.427 0.670  -0.02

Formation energy (no corrections), meV per atom: -491
Crystal system: monoclinic

***

Record 6
A geometry-optimized MgCoSbI2 structure, computed with PBE-GGA.

abc: 5.477 5.477 4.811
angles: 90.00 90.00 90.00
Sites, in units of the cell vectors:
I: 0.000 0.500 0.000
I: 0.500 0.000 0.000
Sb: 0.000 0.000 0.500
Mg: 0.500 0.500 0.500
Co: 0.000 0.000 0.000

Formation energy (no corrections), meV per atom: 249
Crystal system: tetragonal
Energy above the lowest structure with this stoichiometry, meV/atom: 0

***

Record 7
A geometry-optimized MgZn2HgSb structure, computed with PBE-GGA.

abc: 5.011 5.319 5.011
angles: 90.00 90.00 90.00
Sites, in units of the cell vectors:
Mg: 0.000 0.000 0.000
Sb: 0.500 0.500 0.500
Zn: 0.000 0.000 0.500
Zn: 0.500 0.000 0.000
Hg: 0.000 0.500 0.000

Formation energy (no corrections), meV per atom: 536
Crystal system: tetragonal

***

Record 8
A geometry-optimized VAgBr4 structure, computed with PBE-GGA.

abc: 7.643 7.643 8.442
angles: 90.00 90.00 90.00
Site moments in Bohr magnetons follow the coordinates.
Sites, in units of the cell vectors:
V: 0.000 0.500 0.000  2.05
V: 0.500 0.000 0.500  2.05
Ag: 0.000 0.000 0.500  0.01
Ag: 0.000 0.000 0.000  0.01
Br: 0.724 0.230 0.500  -0.05
Br: 0.770 0.276 0.000  -0.05
Br: 0.724 0.770 0.500  -0.05
Br: 0.230 0.724 0.000  -0.05
Br: 0.276 0.770 0.500  -0.05
Br: 0.230 0.276 0.000  -0.05
Br: 0.770 0.724 0.000  -0.05
Br: 0.276 0.230 0.500  -0.05

Formation energy (no corrections), meV per atom: -430
Crystal system: tetragonal
Energy above the lowest structure with this stoichiometry, meV/atom: 210

***

Final energy for the records above, in order: -4.484, -3.706, -4.568, -5.573, -7.938, -2.936, -1.178, -3.541 eV per atom